! FeAs2Cl | Alexandria via LeMat-Bulk | PBE-GGA | relaxed; values from VASP
&SYSTEM
  ibrav = 0, nat = 8, ntyp = 3
/
ATOMIC_SPECIES
Fe 55.84 Fe.upf
As 74.92 As.upf
Cl 35.45 Cl.upf
ATOMIC_POSITIONS angstrom
Fe 5.831 2.915 2.802
Fe 0.000 0.000 0.000
As 0.802 4.373 1.401
As 7.289 7.944 4.203
As 4.373 3.717 4.203
As 5.029 1.458 1.401
Cl 2.915 2.915 0.000
Cl 2.915 5.831 2.802
CELL_PARAMETERS angstrom
5.831 0.000 0.000
0.000 5.831 0.000
2.915 2.915 5.603
! E above lowest polymorph	0.266	eV/atom

! SrCaNdLu | Alexandria via LeMat-Bulk | PBE-GGA | relaxed; values from VASP
&SYSTEM
  ibrav = 0, nat = 4, ntyp = 4
/
ATOMIC_SPECIES
Ca 40.08 Ca.upf
Lu 174.97 Lu.upf
Sr 87.62 Sr.upf
Nd 144.24 Nd.upf
ATOMIC_POSITIONS angstrom
Ca 0.000 0.000 0.000
Lu -0.577 -7.010 -2.090
Sr -0.288 -3.505 -1.045
Nd -0.865 -10.514 -3.135
CELL_PARAMETERS angstrom
-0.691 -3.665 -4.688
2.743 -5.325 -0.068
-3.205 -5.028 0.576
! formation energy	188.4	meV/atom

! Rb5In4Sn2 | Alexandria via LeMat-Bulk | PBE-GGA | relaxed; values from VASP
&SYSTEM
  ibrav = 0, nat = 11, ntyp = 3
/
ATOMIC_SPECIES
Rb 85.47 Rb.upf
Sn 118.71 Sn.upf
In 114.82 In.upf
ATOMIC_POSITIONS angstrom
Rb 5.448 4.937 1.281
Rb 9.070 3.246 8.323
Rb 9.070 4.937 1.281
Rb 5.448 3.246 8.323
Rb 3.630 4.092 4.802
Sn 7.259 6.559 7.349
Sn 7.259 1.625 2.255
In 3.630 1.545 2.064
In 7.259 6.805 4.581
In 10.889 6.638 7.541
In 7.259 1.379 5.023
CELL_PARAMETERS angstrom
7.259 0.000 0.000
3.630 6.631 -0.017
3.630 1.553 9.621
! formation energy	32.5	meV/atom

! Pr2Si2Tc2H | Alexandria via LeMat-Bulk | PBE-GGA | relaxed; values from VASP
&SYSTEM
  ibrav = 0, nat = 7, ntyp = 4
/
ATOMIC_SPECIES
Si 28.09 Si.upf
Pr 140.91 Pr.upf
Tc 98.00 Tc.upf
H 1.01 H.upf
ATOMIC_POSITIONS angstrom
Si 2.075 2.075 1.481
Si 0.000 0.000 5.985
Pr 2.075 2.075 5.057
Pr 0.000 0.000 2.409
Tc 2.075 0.000 0.000
Tc 0.000 2.075 0.000
H 0.000 0.000 0.000
CELL_PARAMETERS angstrom
4.150 0.000 0.000
0.000 4.150 0.000
-2.075 -2.075 7.466
! total DFT energy (no corrections)	-6.903	eV/atom

! Na2AsRhO4 | Alexandria via LeMat-Bulk | PBE-GGA | relaxed; values from VASP
&SYSTEM
  ibrav = 0, nat = 8, ntyp = 4
/
ATOMIC_SPECIES
O 16.00 O.upf
Rh 102.91 Rh.upf
Na 22.99 Na.upf
As 74.92 As.upf
ATOMIC_POSITIONS angstrom
O -2.080 -1.914 2.520
O 4.017 2.081 0.329
O 1.914 3.851 0.329
O 2.082 1.915 2.516
Rh 2.967 0.001 2.933
Na 0.001 2.967 2.933
Na 0.001 0.000 1.425
As 2.966 2.966 1.422
CELL_PARAMETERS angstrom
5.932 0.000 -0.003
-0.001 5.932 -0.003
-2.965 -2.966 3.022
! total DFT energy (no corrections)	-5.409	eV/atom

! PmErH8Rh2 | Alexandria via LeMat-Bulk | PBE-GGA | relaxed; values from VASP
&SYSTEM
  ibrav = 0, nat = 12, ntyp = 4
/
ATOMIC_SPECIES
Er 167.26 Er.upf
Pm 145.00 Pm.upf
H 1.01 H.upf
Rh 102.91 Rh.upf
ATOMIC_POSITIONS angstrom
Er 0.000 0.000 0.000
Pm 4.893 2.825 2.925
H 5.399 1.610 4.779
H 4.094 1.779 1.070
H 5.692 3.870 4.779
H 7.339 4.237 3.121
H 2.446 1.412 2.729
H 3.588 2.994 4.779
H 6.198 2.656 1.070
H 4.387 4.039 1.070
Rh 7.339 4.237 4.727
Rh 2.446 1.412 1.122
CELL_PARAMETERS angstrom
4.893 0.000 0.000
2.446 4.237 0.000
2.446 1.412 5.850
! total DFT energy (no corrections)	-4.546	eV/atom

! LaCeDyZr | Alexandria via LeMat-Bulk | PBE-GGA | relaxed; values from VASP
&SYSTEM
  ibrav = 0, nat = 4, ntyp = 4
/
ATOMIC_SPECIES
Zr 91.22 Zr.upf
Ce 140.12 Ce.upf
La 138.91 La.upf
Dy 162.50 Dy.upf
ATOMIC_POSITIONS angstrom
Zr -2.200 -2.495 -0.578
Ce 0.000 0.000 0.000
La -4.401 -4.989 -1.157
Dy -6.601 -7.484 -1.735
CELL_PARAMETERS angstrom
-3.122 -2.452 -3.826
-0.755 -5.460 0.143
-4.924 -2.067 1.370
! formation energy	232.6	meV/atom

! Cs2NdP2Se6 | Alexandria via LeMat-Bulk | PBE-GGA | relaxed; values from VASP
&SYSTEM
  ibrav = 0, nat = 11, ntyp = 4
/
ATOMIC_SPECIES
Se 78.96 Se.upf
Cs 132.91 Cs.upf
P 30.97 P.upf
Nd 144.24 Nd.upf
ATOMIC_POSITIONS angstrom
Se -5.543 5.781 8.040
Se -7.313 7.162 4.900
Se -8.411 3.679 6.360
Se -6.535 3.814 2.989
Se -3.667 5.916 4.669
Se -4.765 2.433 6.129
Cs -2.947 2.601 2.805
Cs -9.131 6.993 8.223
P -6.432 3.696 5.252
P -5.646 5.898 5.777
Nd 0.000 0.000 0.000
CELL_PARAMETERS angstrom
-7.162 2.448 0.454
-3.685 -0.265 6.622
-1.231 7.412 3.953
! total DFT energy (no corrections)	-4.246	eV/atom

| no. | V (Å³ per atom) | density of states at the Fermi level (states/eV per cell) |
| --- | --- | --- |
| 1 | 23.81 | 3.356 |
| 2 | 38.01 | 5.873 |
| 3 | 42.12 | 4.504 |
| 4 | 18.37 | 4.220 |
| 5 | 13.28 | 1.150 |
| 6 | 10.11 | 2.263 |
| 7 | 29.63 | 8.536 |
| 8 | 32.93 | 2.306 |